Compound: CsHoTh
Source: OQMD via LeMat-Bulk
Functional: PBE-GGA
Structure: relaxed Values from VASP.

The structure in Quantum ESPRESSO input format:
```
&SYSTEM
  ibrav = 0, nat = 3, ntyp = 3
/
ATOMIC_SPECIES
Ho 164.93 Ho.upf
Cs 132.91 Cs.upf
Th 232.04 Th.upf
CELL_PARAMETERS angstrom
-3.520 -1.616 4.393
-3.190 4.018 2.825
-5.813 0.146 -0.700
ATOMIC_POSITIONS crystal
Ho 0.000 0.000 0.000
Cs 0.250 0.250 0.250
Th 0.750 0.750 0.750
```

Computed properties:
Energy above the most stable polymorph in this dataset = 0.000 eV/atom